Record 1
Crystalline DyB4Ir4 at its relaxed geometry, computed with PBE-GGA.

The space group is P4_2/nmc (No. 137, origin choice 2) and the conventional cell measures 5.395, 5.395 and 7.472 Å, with angles of 90.00, 90.00 and 90.00 degrees. The distinct sites, in fractional coordinates, are Dy at (0.250, 0.750, 0.250), B at (0.078, 0.250, 0.096) and Ir at (0.001, 0.750, 0.606).

For the polymorph energy (0 for the lowest one), the calculation gives 46 meV/atom. The value obtained for the total magnetization is 0.00 Bohr magnetons per cell. For the total energy, the calculation gives -7.9218 eV/atom.

---

Record 2
Crystalline DyB4Ir at its relaxed geometry, computed with PBE-GGA.

The space group is Immm (No. 71) and the conventional cell measures 3.170, 5.290 and 7.403 Å, with angles of 90.00, 90.00 and 90.00 degrees. The distinct sites, in fractional coordinates, are Dy at (0.000, 0.000, 0.000), B at (0.000, 0.330, 0.256) and Ir at (0.000, 0.000, 0.500).

For the polymorph energy (0 for the lowest one), the calculation gives 43 meV/atom. The value obtained for the total magnetization is 0.00 Bohr magnetons per cell. For the total energy, the calculation gives -6.8521 eV/atom.